[1]
VASP calculation (GGA-PBE) on an optimized crystal structure of SrAg2Br4.

```
SrAg2Br4
1.0
-1.416 -1.216 4.236
-5.979 0.225 -4.459
2.736 -7.023 -1.106
Sr Br Ag
1 4 2
Direct
0.000 0.000 0.000 Sr
0.867 0.735 0.610 Br
0.133 0.265 0.390 Br
0.622 0.244 0.909 Br
0.378 0.756 0.091 Br
0.658 0.315 0.583 Ag
0.342 0.685 0.417 Ag
```

Output
* total DFT energy (no corrections): -3.09 eV per atom
* E above lowest polymorph: 0.0 meV/atom
* formation energy without anion corrections: -7.6 eV per formula unit
* volume: 242.8 Å³/cell
* symmetry: C2/m (12)


[2]
VASP calculation (GGA-PBE) on an optimized crystal structure of HfTa2CrPt.

```
HfTa2CrPt
1.0
-2.667 -3.642 0.379
3.745 -2.614 1.234
-0.741 0.996 4.357
Cr Hf Pt Ta
1 1 1 2
Direct
0.000 0.000 0.000 Cr
0.000 0.500 0.000 Hf
0.500 0.500 0.500 Pt
0.000 0.000 0.500 Ta
0.500 0.000 0.000 Ta
```

Output
* total DFT energy (no corrections): -9.13 eV per atom
* volume: 97.1 Å³/cell
* symmetry: P4/mmm (123)
* E_form: 3.66 eV/f.u.


[3]
VASP calculation (GGA-PBE) on an optimized crystal structure of Mg2RhBr.

```
Mg2RhBr
1.0
5.356 0.006 -0.002
1.986 4.974 0.002
-3.086 -3.353 2.815
Br Mg Rh
1 2 1
Direct
0.250 0.750 0.500 Br
0.993 0.993 0.000 Mg
0.507 0.507 0.000 Mg
0.750 0.250 0.500 Rh
```

Output
* total DFT energy (no corrections): -3.13 eV per atom
* E above lowest polymorph: 535.9 meV/atom
* formation energy without anion corrections: -0.3 eV per formula unit
* volume: 75.0 Å³/cell
* symmetry: Immm (71)


[4]
VASP calculation (GGA-PBE) on an optimized crystal structure of La2InTe.

```
La2InTe
1.0
-4.823 0.497 -0.512
-1.147 -4.951 5.992
-0.752 -0.646 6.459
Te In La
1 1 2
Direct
0.500 0.500 0.500 Te
0.000 0.000 0.500 In
0.000 0.000 0.000 La
0.500 0.500 0.000 La
```

Output
* total DFT energy (no corrections): -4.90 eV per atom
* E above lowest polymorph: 82.0 meV/atom
* formation energy without anion corrections: -3.9 eV per formula unit
* volume: 138.5 Å³/cell
* symmetry: P2/m (10)